The following is a GGA-PBE calculation of a relaxed structure of Hf3TiIr, from Alexandria via LeMat-Bulk.

For the energy above the lowest structure with this stoichiometry, the calculation gives 0 meV/atom.

The space group is Pm-3m (No. 221) and the conventional cell measures 4.9913, 4.9913 and 4.9913 Å, with angles of 90.00, 90.00 and 90.00 degrees. The inequivalent atoms are Hf at (0.0000, 0.0000, 0.5000), Ti at (0.5000, 0.5000, 0.5000) and Ir at (0.0000, 0.0000, 0.0000).

***

The following is a GGA-PBE calculation of a relaxed structure of Na4AcPm, from Alexandria via LeMat-Bulk.

The space group is F-43m (No. 216) and the conventional cell measures 9.5024, 9.5024 and 9.5024 Å, with angles of 90.00, 90.00 and 90.00 degrees. The inequivalent atoms are Na at (0.1243, 0.1243, 0.1243), Ac at (0.0000, 0.0000, 0.5000) and Pm at (0.2500, 0.2500, 0.7500).

***

The following is a GGA-PBE calculation of a relaxed structure of Ti3Zn3Rh, from Alexandria via LeMat-Bulk.

The space group is C2/m (No. 12) and the conventional cell measures 8.0765, 6.8083 and 8.2725 Å, with angles of 90.00, 90.02 and 90.00 degrees. The inequivalent atoms are Ti at (0.0000, 0.1988, 0.0000), Ti at (0.0000, 0.2087, 0.5000), Ti at (0.2106, 0.5000, 0.0005), Zn at (0.9999, 0.5000, 0.2595), Zn at (0.2497, 0.2493, 0.2546) and Rh at (0.2318, 0.5000, 0.4996).

***

The following is a GGA-PBE calculation of a relaxed structure of Er2MnHg, from Alexandria via LeMat-Bulk.

For the energy above the lowest structure with this stoichiometry, the calculation gives 83 meV/atom.

The space group is Fm-3m (No. 225) and the conventional cell measures 7.2123, 7.2123 and 7.2123 Å, with angles of 90.00, 90.00 and 90.00 degrees. The inequivalent atoms are Er at (0.2500, 0.2500, 0.2500), Mn at (0.0000, 0.0000, 0.0000) and Hg at (0.0000, 0.0000, 0.5000).

***

The following is a GGA-PBE calculation of a relaxed structure of Pu2ThNpP4, from Alexandria via LeMat-Bulk.

The space group is P2/m (No. 10) and the conventional cell measures 6.9807, 4.0387 and 6.9870 Å, with angles of 90.00, 109.52 and 90.00 degrees. The inequivalent atoms are Pu at (0.0000, 0.0000, 0.0000), Pu at (0.0000, 0.5000, 0.5000), Th at (0.5000, 0.0000, 0.5000), Np at (0.5000, 0.5000, 0.0000), P at (0.2430, 0.5000, 0.2401) and P at (0.2480, 0.0000, 0.7571).

***

The following is a GGA-PBE calculation of a relaxed structure of Ba2ZrSe, from Alexandria via LeMat-Bulk.

The value obtained for the uncorrected formation energy is -0.07 eV per formula unit.

The space group is I-4m2 (No. 119) and the conventional cell measures 4.8271, 4.8271 and 12.2502 Å, with angles of 90.00, 90.00 and 90.00 degrees. The inequivalent atoms are Ba at (0.0000, 0.0000, 0.0000), Ba at (0.0000, 0.5000, 0.2500), Zr at (0.0000, 0.0000, 0.5000) and Se at (0.0000, 0.5000, 0.7500).

***

Number 1: energy -44.61 eV for the cell shown, M_tot 0.0 μB/f.u.. Number 2: energy -51.07 eV for the cell shown, M_tot 0.0 μB/f.u.. Number 3: energy -143.00 eV for the cell shown, M_tot 0.0 μB/f.u.. Number 4: energy -75.76 eV for the cell shown, M_tot 3.0 μB/f.u.. Number 5: energy -80.18 eV for the cell shown, M_tot 14.0 μB/f.u.. Number 6: energy -31.91 eV for the cell shown, M_tot 2.5 μB/f.u..